1.
VASP calculation (PBE-GGA) on a relaxed structure of DyTmPu2Se4.

The structure in POSCAR format:
```
DyTmPu2Se4
1.0
4.084 0.000 0.000
0.000 7.143 0.140
0.000 -2.478 6.606
Dy Tm Pu Se
1 1 2 4
direct
0.500 0.500 0.000
0.000 0.000 0.000
0.500 0.000 0.500
0.000 0.500 0.500
0.500 0.245 0.241
0.500 0.755 0.759
0.000 0.249 0.757
0.000 0.751 0.243
```

Output
As for the total energy: -8.10 eV per atom. The calculated volume is 24.3 Å³/atom. As for the magnetization: 0.04 μB per formula unit. The symmetry is P2/m.

2.
VASP calculation (PBE-GGA) on a relaxed structure of Be2PAu.

The structure in POSCAR format:
```
Be2PAu
1.0
-1.792 4.567 1.846
-2.273 0.754 4.663
4.164 -2.215 -2.287
P Au Be
1 1 2
direct
0.500 0.500 0.000
0.750 0.250 0.500
0.000 0.000 0.000
0.250 0.750 0.500
```

Output
Its calculated formation energy is 0.297 eV/atom. As for the total energy: -3.74 eV per atom. The calculated volume is 13.3 Å³/atom. As for the magnetization: 0.00 μB per formula unit. The symmetry is I-4m2.

3.
VASP calculation (PBE-GGA) on a relaxed structure of Ce2BeHg.

The structure in POSCAR format:
```
Ce2BeHg
1.0
3.025 0.000 0.000
1.512 2.620 0.000
1.512 0.873 11.626
Be Hg Ce
1 1 2
direct
0.000 0.000 0.000
0.500 0.500 0.500
0.084 0.084 0.747
0.916 0.916 0.253
```

Output
Its calculated formation energy is 0.533 eV/atom. For the energy relative to the lowest polymorph listed for this composition, the calculation gives 0.587 eV/atom. As for the total energy: -3.44 eV per atom. The calculated volume is 23.0 Å³/atom. As for the magnetization: 0.00 μB per formula unit. The symmetry is R-3m.

4.
VASP calculation (PBE-GGA) on a relaxed structure of LiDy2TcO6.

The structure in POSCAR format:
```
LiDy2TcO6
1.0
-0.811 -5.228 -1.550
1.838 -4.129 3.158
-3.828 -3.172 2.895
Li Dy Tc O
1 2 1 6
direct
0.800 0.800 0.601
0.531 0.531 0.407
0.027 0.027 0.918
0.321 0.321 0.038
0.578 0.202 0.247
0.202 0.973 0.247
0.973 0.579 0.247
0.441 0.677 0.770
0.677 0.112 0.770
0.112 0.441 0.770
```

Output
As for the total energy: -7.67 eV per atom. The calculated volume is 12.6 Å³/atom. As for the magnetization: 2.00 μB per formula unit. The symmetry is R3.